# K3PmPu2S6

Crystalline K3PmPu2S6 at its relaxed geometry (PBE, Alexandria via LeMat-Bulk).

The crystal system is monoclinic. For the density of states at the Fermi level, the calculation gives 18.96 states/eV/f.u. As for the volume: 652 Å³ per cell. The value obtained for the uncorrected formation energy is -38.56 kcal/mol of atoms.

The space group is C2/m (No. 12) and the conventional cell measures 7.157, 12.395 and 7.729 Å, with angles of 90.00, 107.98 and 90.00 degrees. The inequivalent atoms are K at (0.000, 0.000, 0.000), K at (0.000, 0.334, 0.000), Pm at (0.000, 0.500, 0.500), Pu at (0.000, 0.167, 0.500), S at (0.229, 0.000, 0.703) and S at (0.237, 0.331, 0.703).